(1)
## AgHgBr (GGA-PBE)

Data for crystalline AgHgBr at its relaxed geometry.

Lattice parameters (Å, degrees): 6.9998 6.9998 6.9998 90.00 90.00 90.00
Last column: nearest neighbours and their distance in Å.
Sites, in units of the cell vectors:
Ag (0.0000, 0.0000, 0.0000)  4 Br 3.03, 4 Hg 3.03
Ag (0.0000, 0.5000, 0.5000)  4 Br 3.03, 4 Hg 3.03
Ag (0.5000, 0.0000, 0.5000)  4 Br 3.03, 4 Hg 3.03
Ag (0.5000, 0.5000, 0.0000)  4 Br 3.03, 4 Hg 3.03
Hg (0.2500, 0.2500, 0.7500)  4 Ag 3.03
Hg (0.2500, 0.7500, 0.2500)  4 Ag 3.03
Hg (0.7500, 0.2500, 0.2500)  4 Ag 3.03
Hg (0.7500, 0.7500, 0.7500)  4 Ag 3.03
Br (0.2500, 0.2500, 0.2500)  4 Ag 3.03
Br (0.2500, 0.7500, 0.7500)  4 Ag 3.03
Br (0.7500, 0.2500, 0.7500)  4 Ag 3.03
Br (0.7500, 0.7500, 0.2500)  4 Ag 3.03

Results
offset from the most stable computed form = 105 meV per atom
space-group type = F-43m (216)
total energy = -20.511 eV per cell
formation energy (no corrections) = -101 meV per atom



(2)
## Ag2Hg2Br (GGA-PBE)

Data for crystalline Ag2Hg2Br at its relaxed geometry.

Lattice parameters (Å, degrees): 4.1994 4.1994 13.9758 90.00 90.00 90.00
Last column: nearest neighbours and their distance in Å.
Sites, in units of the cell vectors:
Ag (0.0000, 0.0000, 0.1005)  1 Ag 2.81, 4 Hg 2.96
Ag (0.0000, 0.0000, 0.8995)  1 Ag 2.81, 4 Hg 2.96
Ag (0.5000, 0.5000, 0.3995)  1 Ag 2.81, 4 Hg 2.96
Ag (0.5000, 0.5000, 0.6005)  1 Ag 2.81, 4 Hg 2.96
Hg (0.0000, 0.5000, 0.2500)  4 Ag 2.96, 4 Hg 2.97
Hg (0.0000, 0.5000, 0.7500)  4 Ag 2.96, 4 Hg 2.97
Hg (0.5000, 0.0000, 0.2500)  4 Ag 2.96, 4 Hg 2.97
Hg (0.5000, 0.0000, 0.7500)  4 Ag 2.96, 4 Hg 2.97
Br (0.0000, 0.0000, 0.5000)  8 Ag 3.28
Br (0.5000, 0.5000, 0.0000)  8 Ag 3.28

Results
offset from the most stable computed form = 47 meV per atom
space-group type = I4/mmm (139)
total energy = -15.329 eV per cell
formation energy (no corrections) = 63 meV per atom



(3)
## AgHgBr2 (GGA-PBE)

Data for crystalline AgHgBr2 at its relaxed geometry.

Lattice parameters (Å, degrees): 4.0531 7.4677 8.1985 90.00 90.00 90.00
Last column: nearest neighbours and their distance in Å.
Sites, in units of the cell vectors:
Ag (0.0000, 0.0000, 0.0000)  4 Br 2.72
Ag (0.5000, 0.5000, 0.5000)  4 Br 2.72
Hg (0.0000, 0.0000, 0.5000)  4 Br 3.06
Hg (0.5000, 0.5000, 0.0000)  4 Br 3.06
Br (0.0000, 0.5000, 0.2790)  2 Ag 2.72
Br (0.0000, 0.5000, 0.7210)  2 Ag 2.72
Br (0.5000, 0.0000, 0.2210)  2 Ag 2.72
Br (0.5000, 0.0000, 0.7790)  2 Ag 2.72

Results
offset from the most stable computed form = 49 meV per atom
space-group type = Immm (71)
total energy = -14.417 eV per cell
formation energy (no corrections) = -177 meV per atom



(4)
## AgHgBr2 (GGA-PBE)

Data for crystalline AgHgBr2 at its relaxed geometry.

Lattice parameters (Å, degrees): 7.4012 7.4012 7.4012 90.00 90.00 90.00
Last column: nearest neighbours and their distance in Å.
Sites, in units of the cell vectors:
Ag (0.0000, 0.0000, 0.0000)  8 Br 3.20
Ag (0.0000, 0.5000, 0.5000)  8 Br 3.20
Ag (0.5000, 0.0000, 0.5000)  8 Br 3.20
Ag (0.5000, 0.5000, 0.0000)  8 Br 3.20
Hg (0.0000, 0.0000, 0.5000)  8 Br 3.20
Hg (0.0000, 0.5000, 0.0000)  8 Br 3.20
Hg (0.5000, 0.0000, 0.0000)  8 Br 3.20
Hg (0.5000, 0.5000, 0.5000)  8 Br 3.20
Br (0.2500, 0.2500, 0.2500)  4 Hg 3.20, 4 Ag 3.20
Br (0.2500, 0.2500, 0.7500)  4 Ag 3.20, 4 Hg 3.20
Br (0.2500, 0.7500, 0.2500)  4 Ag 3.20, 4 Hg 3.20
Br (0.2500, 0.7500, 0.7500)  4 Hg 3.20, 4 Ag 3.20
Br (0.7500, 0.2500, 0.2500)  4 Ag 3.20, 4 Hg 3.20
Br (0.7500, 0.2500, 0.7500)  4 Hg 3.20, 4 Ag 3.20
Br (0.7500, 0.7500, 0.2500)  4 Hg 3.20, 4 Ag 3.20
Br (0.7500, 0.7500, 0.7500)  4 Ag 3.20, 4 Hg 3.20

Results
offset from the most stable computed form = 212 meV per atom
space-group type = Fm-3m (225)
total energy = -26.228 eV per cell
formation energy (no corrections) = -15 meV per atom



(5)
## Ag2HgBr (GGA-PBE)

Data for crystalline Ag2HgBr at its relaxed geometry.

Lattice parameters (Å, degrees): 3.5028 3.5028 25.6490 90.00 90.00 120.00
Last column: nearest neighbours and their distance in Å.
Sites, in units of the cell vectors:
Ag (0.0000, 0.0000, 0.2485)  3 Br 2.91, 3 Hg 2.97
Ag (0.0000, 0.0000, 0.7515)  3 Br 2.91, 3 Hg 2.97
Ag (0.3333, 0.6667, 0.4182)  3 Br 2.91, 3 Hg 2.97
Ag (0.3333, 0.6667, 0.9151)  3 Br 2.91, 3 Hg 2.97
Ag (0.6667, 0.3333, 0.0849)  3 Br 2.91, 3 Hg 2.97
Ag (0.6667, 0.3333, 0.5818)  3 Br 2.91, 3 Hg 2.97
Hg (0.0000, 0.0000, 0.0000)  6 Ag 2.97
Hg (0.3333, 0.6667, 0.6667)  6 Ag 2.97
Hg (0.6667, 0.3333, 0.3333)  6 Ag 2.97
Br (0.0000, 0.0000, 0.5000)  6 Ag 2.91
Br (0.3333, 0.6667, 0.1667)  6 Ag 2.91
Br (0.6667, 0.3333, 0.8333)  6 Ag 2.91

Results
offset from the most stable computed form = 90 meV per atom
space-group type = R-3m (166)
total energy = -22.843 eV per cell
formation energy (no corrections) = 16 meV per atom



(6)
## AgHgBr (GGA-PBE)

Data for crystalline AgHgBr at its relaxed geometry.

Lattice parameters (Å, degrees): 5.9174 4.6438 8.0552 90.00 90.02 90.00
Last column: nearest neighbours and their distance in Å.
Sites, in units of the cell vectors:
Ag (0.0000, 0.0000, 0.0000)  3 Br 2.68, 2 Hg 2.95-2.96
Ag (0.0110, 0.5000, 0.5000)  3 Br 2.68, 2 Hg 2.95-2.97
Hg (0.5010, 0.0000, 0.0014)  2 Ag 2.95-2.96
Hg (0.5090, 0.5000, 0.5014)  2 Ag 2.95-2.97
Br (0.0033, 0.0000, 0.3332)  3 Ag 2.68
Br (0.0034, 0.5000, 0.8332)  3 Ag 2.68

Results
offset from the most stable computed form = 0 meV per atom
space-group type = Pm (6)
total energy = -10.887 eV per cell
formation energy (no corrections) = -206 meV per atom



What did the fourth record say?
## AgHgBr2 (GGA-PBE)

Data for crystalline AgHgBr2 at its relaxed geometry.

Lattice parameters (Å, degrees): 7.4012 7.4012 7.4012 90.00 90.00 90.00
Last column: nearest neighbours and their distance in Å.
Sites, in units of the cell vectors:
Ag (0.0000, 0.0000, 0.0000)  8 Br 3.20
Ag (0.0000, 0.5000, 0.5000)  8 Br 3.20
Ag (0.5000, 0.0000, 0.5000)  8 Br 3.20
Ag (0.5000, 0.5000, 0.0000)  8 Br 3.20
Hg (0.0000, 0.0000, 0.5000)  8 Br 3.20
Hg (0.0000, 0.5000, 0.0000)  8 Br 3.20
Hg (0.5000, 0.0000, 0.0000)  8 Br 3.20
Hg (0.5000, 0.5000, 0.5000)  8 Br 3.20
Br (0.2500, 0.2500, 0.2500)  4 Hg 3.20, 4 Ag 3.20
Br (0.2500, 0.2500, 0.7500)  4 Ag 3.20, 4 Hg 3.20
Br (0.2500, 0.7500, 0.2500)  4 Ag 3.20, 4 Hg 3.20
Br (0.2500, 0.7500, 0.7500)  4 Hg 3.20, 4 Ag 3.20
Br (0.7500, 0.2500, 0.2500)  4 Ag 3.20, 4 Hg 3.20
Br (0.7500, 0.2500, 0.7500)  4 Hg 3.20, 4 Ag 3.20
Br (0.7500, 0.7500, 0.2500)  4 Hg 3.20, 4 Ag 3.20
Br (0.7500, 0.7500, 0.7500)  4 Ag 3.20, 4 Hg 3.20

Results
offset from the most stable computed form = 212 meV per atom
space-group type = Fm-3m (225)
total energy = -26.228 eV per cell
formation energy (no corrections) = -15 meV per atom



Repeat the sixth record exactly.
## AgHgBr (GGA-PBE)

Data for crystalline AgHgBr at its relaxed geometry.

Lattice parameters (Å, degrees): 5.9174 4.6438 8.0552 90.00 90.02 90.00
Last column: nearest neighbours and their distance in Å.
Sites, in units of the cell vectors:
Ag (0.0000, 0.0000, 0.0000)  3 Br 2.68, 2 Hg 2.95-2.96
Ag (0.0110, 0.5000, 0.5000)  3 Br 2.68, 2 Hg 2.95-2.97
Hg (0.5010, 0.0000, 0.0014)  2 Ag 2.95-2.96
Hg (0.5090, 0.5000, 0.5014)  2 Ag 2.95-2.97
Br (0.0033, 0.0000, 0.3332)  3 Ag 2.68
Br (0.0034, 0.5000, 0.8332)  3 Ag 2.68

Results
offset from the most stable computed form = 0 meV per atom
space-group type = Pm (6)
total energy = -10.887 eV per cell
formation energy (no corrections) = -206 meV per atom



Among the records above, which one has the lowest total energy?
number 4



Which of these has the highest total energy?
number 6